# NaNi6H12

NaNi6H12 after structural relaxation (PBE, the Alexandria database).

## Properties
Total magnetization ... 0.000 Bohr magnetons per cell
E ... -3.977 eV/atom

Cell lengths 5.2331, 5.2331, 5.2331 Å; angles 105.54, 105.54, 105.54 degrees
With the nearest neighbours (Å) after each atom.
Fractional positions:
Na (0.0000, 0.0000, 0.0000)  18 H 2.67-2.82, 12 Ni 2.88-2.97
Ni (0.2302, 0.2302, 0.6325)  5 H 1.68-1.71
Ni (0.2302, 0.6325, 0.2302)  5 H 1.68-1.71
Ni (0.3675, 0.7698, 0.7698)  5 H 1.68-1.71
Ni (0.6325, 0.2302, 0.2302)  5 H 1.68-1.71
Ni (0.7698, 0.3675, 0.7698)  5 H 1.68-1.71
Ni (0.7698, 0.7698, 0.3675)  5 H 1.68-1.71
H (0.1271, 0.5000, 0.8729)  2 Ni 1.68
H (0.1271, 0.8729, 0.5000)  2 Ni 1.68
H (0.2012, 0.4687, 0.4687)  3 Ni 1.71
H (0.4687, 0.2012, 0.4687)  3 Ni 1.71
H (0.4687, 0.4687, 0.2012)  3 Ni 1.71
H (0.5000, 0.1271, 0.8729)  2 Ni 1.68
H (0.5000, 0.8729, 0.1271)  2 Ni 1.68
H (0.5313, 0.5313, 0.7988)  3 Ni 1.71
H (0.5313, 0.7988, 0.5313)  3 Ni 1.71
H (0.7988, 0.5313, 0.5313)  3 Ni 1.71
H (0.8729, 0.1271, 0.5000)  2 Ni 1.68
H (0.8729, 0.5000, 0.1271)  2 Ni 1.68



# NaNi5H8

NaNi5H8 after structural relaxation (PBE, the Alexandria database).

## Properties
Total magnetization ... 0.000 Bohr magnetons per cell
E ... -4.128 eV/atom

Cell lengths 6.3407, 6.3407, 6.6315 Å; angles 106.37, 106.37, 24.16 degrees
With the nearest neighbours (Å) after each atom.
Fractional positions:
Na (0.0000, 0.0000, 0.0000)  8 H 2.44-2.71, 2 Na 2.65
Ni (0.1578, 0.1578, 0.4191)  4 H 1.60-1.72
Ni (0.2277, 0.2277, 0.8264)  5 H 1.68-1.71
Ni (0.5000, 0.5000, 0.5000)  6 H 1.74-1.75
Ni (0.7723, 0.7723, 0.1736)  5 H 1.68-1.71
Ni (0.8422, 0.8422, 0.5809)  4 H 1.60-1.72
H (0.0898, 0.0898, 0.6110)  4 Ni 1.72-1.89
H (0.2649, 0.2649, 0.3296)  3 Ni 1.60-1.70
H (0.3229, 0.3229, 0.0657)  3 Ni 1.68-1.71
H (0.4232, 0.4232, 0.6815)  3 Ni 1.68-1.74
H (0.5768, 0.5768, 0.3185)  3 Ni 1.68-1.74
H (0.6771, 0.6771, 0.9343)  3 Ni 1.68-1.71
H (0.7351, 0.7351, 0.6704)  3 Ni 1.60-1.70
H (0.9102, 0.9102, 0.3890)  4 Ni 1.72-1.89



# NaNiH2

NaNiH2 after structural relaxation (PBE, the Alexandria database).

## Properties
Total magnetization ... 0.000 Bohr magnetons per cell
Energy relative to the lowest polymorph listed for this composition ... 0 meV per atom

Cell lengths 5.0123, 5.0123, 6.3177 Å; angles 90.00, 90.00, 90.00 degrees
With the nearest neighbours (Å) after each atom.
Fractional positions:
Na (0.0000, 0.0000, 0.0000)  4 H 2.36
Na (0.0000, 0.5000, 0.2500)  4 H 2.36
Na (0.5000, 0.0000, 0.7500)  4 H 2.36
Na (0.5000, 0.5000, 0.5000)  4 H 2.36
Ni (0.0000, 0.0000, 0.5000)  4 H 1.63
Ni (0.0000, 0.5000, 0.7500)  4 H 1.63
Ni (0.5000, 0.0000, 0.2500)  4 H 1.63
Ni (0.5000, 0.5000, 0.0000)  4 H 1.63
H (0.1336, 0.7500, 0.6250)  2 Ni 1.63
H (0.2500, 0.1336, 0.3750)  2 Ni 1.63
H (0.2500, 0.3664, 0.8750)  2 Ni 1.63
H (0.3664, 0.7500, 0.1250)  2 Ni 1.63
H (0.6336, 0.2500, 0.1250)  2 Ni 1.63
H (0.7500, 0.6336, 0.8750)  2 Ni 1.63
H (0.7500, 0.8664, 0.3750)  2 Ni 1.63
H (0.8664, 0.2500, 0.6250)  2 Ni 1.63



# Na2NiH

Na2NiH after structural relaxation (PBE, the Alexandria database).

## Properties
Total magnetization ... 3.263 Bohr magnetons per cell
Energy relative to the lowest polymorph listed for this composition ... 153 meV per atom

Cell lengths 6.6867, 6.6867, 6.6867 Å; angles 90.00, 90.00, 90.00 degrees
With the nearest neighbours (Å) after each atom.
Fractional positions:
Na (0.2500, 0.2500, 0.2500)  4 H 2.90, 4 Ni 2.90
Na (0.2500, 0.2500, 0.7500)  4 H 2.90, 4 Ni 2.90
Na (0.2500, 0.7500, 0.2500)  4 H 2.90, 4 Ni 2.90
Na (0.2500, 0.7500, 0.7500)  4 H 2.90, 4 Ni 2.90
Na (0.7500, 0.2500, 0.2500)  4 H 2.90, 4 Ni 2.90
Na (0.7500, 0.2500, 0.7500)  4 H 2.90, 4 Ni 2.90
Na (0.7500, 0.7500, 0.2500)  4 H 2.90, 4 Ni 2.90
Na (0.7500, 0.7500, 0.7500)  4 H 2.90, 4 Ni 2.90
Ni (0.0000, 0.0000, 0.0000)  8 Na 2.90
Ni (0.0000, 0.5000, 0.5000)  8 Na 2.90
Ni (0.5000, 0.0000, 0.5000)  8 Na 2.90
Ni (0.5000, 0.5000, 0.0000)  8 Na 2.90
H (0.0000, 0.0000, 0.5000)  8 Na 2.90
H (0.0000, 0.5000, 0.0000)  8 Na 2.90
H (0.5000, 0.0000, 0.0000)  8 Na 2.90
H (0.5000, 0.5000, 0.5000)  8 Na 2.90



# NaNi5H11

NaNi5H11 after structural relaxation (PBE, the Alexandria database).

## Properties
Total magnetization ... 0.000 Bohr magnetons per cell
E ... -3.957 eV/atom

Cell lengths 5.1131, 5.1131, 6.0187 Å; angles 102.08, 102.08, 112.07 degrees
With the nearest neighbours (Å) after each atom.
Fractional positions:
Na (0.0000, 0.0000, 0.0000)  4 H 2.38
Ni (0.0670, 0.3683, 0.6438)  6 H 1.60-1.78
Ni (0.3683, 0.0670, 0.6438)  6 H 1.60-1.78
Ni (0.5000, 0.5000, 0.0000)  6 H 1.61-1.71
Ni (0.6317, 0.9330, 0.3562)  6 H 1.60-1.78
Ni (0.9330, 0.6317, 0.3562)  6 H 1.60-1.78
H (0.0000, 0.0000, 0.5000)  4 Ni 1.77
H (0.1255, 0.7104, 0.6423)  3 Ni 1.66-1.78
H (0.1655, 0.4683, 0.9301)  2 Ni 1.60-1.61
H (0.2896, 0.8745, 0.3577)  3 Ni 1.66-1.78
H (0.4214, 0.4214, 0.6971)  3 Ni 1.68-1.71
H (0.4683, 0.1655, 0.9301)  2 Ni 1.60-1.61
H (0.5317, 0.8345, 0.0699)  2 Ni 1.60-1.61
H (0.5786, 0.5786, 0.3029)  3 Ni 1.68-1.71
H (0.7104, 0.1255, 0.6423)  3 Ni 1.66-1.78
H (0.8345, 0.5317, 0.0699)  2 Ni 1.60-1.61
H (0.8745, 0.2896, 0.3577)  3 Ni 1.66-1.78



# NaNiH2

NaNiH2 after structural relaxation (PBE, the Alexandria database).

## Properties
Total magnetization ... 0.000 Bohr magnetons per cell
Energy relative to the lowest polymorph listed for this composition ... 13 meV per atom

Cell lengths 2.7308, 11.2926, 5.2103 Å; angles 90.00, 90.00, 90.00 degrees
With the nearest neighbours (Å) after each atom.
Fractional positions:
Na (0.0000, 0.1485, 0.2500)  8 H 2.49-2.61, 2 Na 2.73
Na (0.0000, 0.8515, 0.7500)  8 H 2.49-2.61, 2 Na 2.73
Na (0.5000, 0.3515, 0.7500)  8 H 2.49-2.61, 2 Na 2.73
Na (0.5000, 0.6485, 0.2500)  8 H 2.49-2.61, 2 Na 2.73
Ni (0.0000, 0.4156, 0.2500)  4 H 1.61-1.66
Ni (0.0000, 0.5844, 0.7500)  4 H 1.61-1.66
Ni (0.5000, 0.0844, 0.7500)  4 H 1.61-1.66
Ni (0.5000, 0.9156, 0.2500)  4 H 1.61-1.66
H (0.0000, 0.1675, 0.7500)  2 Ni 1.66
H (0.0000, 0.5000, 0.0000)  2 Ni 1.61
H (0.0000, 0.5000, 0.5000)  2 Ni 1.61
H (0.0000, 0.8325, 0.2500)  2 Ni 1.66
H (0.5000, 0.0000, 0.0000)  2 Ni 1.61
H (0.5000, 0.0000, 0.5000)  2 Ni 1.61
H (0.5000, 0.3325, 0.2500)  2 Ni 1.66
H (0.5000, 0.6675, 0.7500)  2 Ni 1.66